# 1
The following is a PBE-GGA calculation of an optimized crystal structure of Sc2TaIrAu, from Alexandria via LeMat-Bulk.

Results
As for the energy of formation from the pure elements: 0.91 eV per atom.

```
data_Sc2TaIrAu
_cell_length_a 4.940
_cell_length_b 4.940
_cell_length_c 4.945
_cell_angle_alpha 90.00
_cell_angle_beta 90.00
_cell_angle_gamma 90.00
_symmetry_space_group_name_H-M 'P 4/m m m'
_symmetry_Int_Tables_number 123
_symmetry_space_group_name_Hall '-P 4 2'
loop_
_atom_site_label
_atom_site_type_symbol
_atom_site_fract_x
_atom_site_fract_y
_atom_site_fract_z
_atom_site_occupancy
Sc1 Sc 0.000 0.500 0.000 1
Ta1 Ta 0.000 0.000 0.500 1
Ir1 Ir 0.500 0.500 0.500 1
Au1 Au 0.000 0.000 0.000 1
```

***

# 2
The following is a PBE-GGA calculation of an optimized crystal structure of ScTiIrAu, from Alexandria via LeMat-Bulk.

Results
As for the energy of formation from the pure elements: -0.65 eV per atom.

```
data_ScTiIrAu
_cell_length_a 6.505
_cell_length_b 6.505
_cell_length_c 6.505
_cell_angle_alpha 90.00
_cell_angle_beta 90.00
_cell_angle_gamma 90.00
_symmetry_space_group_name_H-M 'F -4 3 m'
_symmetry_Int_Tables_number 216
_symmetry_space_group_name_Hall 'F -4 2 3'
loop_
_atom_site_label
_atom_site_type_symbol
_atom_site_fract_x
_atom_site_fract_y
_atom_site_fract_z
_atom_site_occupancy
Sc1 Sc 0.000 0.000 0.000 1
Ti1 Ti 0.000 0.000 0.500 1
Ir1 Ir 0.250 0.250 0.750 1
Au1 Au 0.250 0.250 0.250 1
```

***

# 3
The following is a PBE-GGA calculation of an optimized crystal structure of Y2ScIrAu, from Alexandria via LeMat-Bulk.

Results
As for the energy of formation from the pure elements: 0.00 eV per atom.

```
data_Y2ScIrAu
_cell_length_a 5.200
_cell_length_b 5.200
_cell_length_c 5.270
_cell_angle_alpha 90.00
_cell_angle_beta 90.00
_cell_angle_gamma 90.00
_symmetry_space_group_name_H-M 'P 4/m m m'
_symmetry_Int_Tables_number 123
_symmetry_space_group_name_Hall '-P 4 2'
loop_
_atom_site_label
_atom_site_type_symbol
_atom_site_fract_x
_atom_site_fract_y
_atom_site_fract_z
_atom_site_occupancy
Y1 Y 0.000 0.500 0.000 1
Sc1 Sc 0.000 0.000 0.500 1
Ir1 Ir 0.500 0.500 0.000 1
Au1 Au 0.500 0.500 0.500 1
```

***

# 4
The following is a PBE-GGA calculation of an optimized crystal structure of Sc4ZnIrAu2, from Alexandria via LeMat-Bulk.

Results
As for the energy of formation from the pure elements: -0.76 eV per atom.

```
data_Sc4ZnIrAu2
_cell_length_a 4.7404
_cell_length_b 4.7404
_cell_length_c 23.2502
_cell_angle_alpha 90.00
_cell_angle_beta 90.00
_cell_angle_gamma 120.00
_symmetry_space_group_name_H-M 'R -3 m'
_symmetry_Int_Tables_number 166
_symmetry_space_group_name_Hall '-R 3 2"'
loop_
_atom_site_label
_atom_site_type_symbol
_atom_site_fract_x
_atom_site_fract_y
_atom_site_fract_z
_atom_site_occupancy
Sc1 Sc 0.0000 0.0000 0.1191 1
Sc2 Sc 0.0000 0.0000 0.3702 1
Zn1 Zn 0.0000 0.0000 0.5000 1
Ir1 Ir 0.0000 0.0000 0.0000 1
Au1 Au 0.0000 0.0000 0.2421 1
```

***

# 5
The following is a PBE-GGA calculation of an optimized crystal structure of ScZnIrAu, from Alexandria via LeMat-Bulk.

Results
As for the energy of formation from the pure elements: -0.54 eV per atom.

```
data_ScZnIrAu
_cell_length_a 6.425
_cell_length_b 6.425
_cell_length_c 6.425
_cell_angle_alpha 90.00
_cell_angle_beta 90.00
_cell_angle_gamma 90.00
_symmetry_space_group_name_H-M 'F -4 3 m'
_symmetry_Int_Tables_number 216
_symmetry_space_group_name_Hall 'F -4 2 3'
loop_
_atom_site_label
_atom_site_type_symbol
_atom_site_fract_x
_atom_site_fract_y
_atom_site_fract_z
_atom_site_occupancy
Sc1 Sc 0.000 0.000 0.000 1
Zn1 Zn 0.000 0.000 0.500 1
Ir1 Ir 0.250 0.250 0.250 1
Au1 Au 0.250 0.250 0.750 1
```

***

# 6
The following is a PBE-GGA calculation of an optimized crystal structure of ZrScIrAu, from Alexandria via LeMat-Bulk.

Results
As for the energy of formation from the pure elements: -0.73 eV per atom.

```
data_ZrScIrAu
_cell_length_a 6.695
_cell_length_b 6.695
_cell_length_c 6.695
_cell_angle_alpha 90.00
_cell_angle_beta 90.00
_cell_angle_gamma 90.00
_symmetry_space_group_name_H-M 'F -4 3 m'
_symmetry_Int_Tables_number 216
_symmetry_space_group_name_Hall 'F -4 2 3'
loop_
_atom_site_label
_atom_site_type_symbol
_atom_site_fract_x
_atom_site_fract_y
_atom_site_fract_z
_atom_site_occupancy
Zr1 Zr 0.000 0.000 0.000 1
Sc1 Sc 0.000 0.000 0.500 1
Ir1 Ir 0.250 0.250 0.250 1
Au1 Au 0.250 0.250 0.750 1
```

***

# 7
The following is a PBE-GGA calculation of an optimized crystal structure of IrAu2Se, from Alexandria via LeMat-Bulk.

Results
The energy relative to the elements, uncorrected comes out at 0.454 eV per atom.

```
data_IrAu2Se
_cell_length_a 2.8268
_cell_length_b 2.8268
_cell_length_c 31.6354
_cell_angle_alpha 90.00
_cell_angle_beta 90.00
_cell_angle_gamma 120.00
_symmetry_space_group_name_H-M 'R -3 m'
_symmetry_Int_Tables_number 166
_symmetry_space_group_name_Hall '-R 3 2"'
loop_
_atom_site_label
_atom_site_type_symbol
_atom_site_fract_x
_atom_site_fract_y
_atom_site_fract_z
_atom_site_occupancy
Ir1 Ir 0.0000 0.0000 0.0000 1
Au1 Au 0.0000 0.0000 0.2575 1
Se1 Se 0.0000 0.0000 0.5000 1
```

***

# 8
The following is a PBE-GGA calculation of an optimized crystal structure of IrAu2Se, from Alexandria via LeMat-Bulk.

Results
The energy relative to the elements, uncorrected comes out at 0.458 eV per atom.

```
data_IrAu2Se
_cell_length_a 2.909
_cell_length_b 4.789
_cell_length_c 10.190
_cell_angle_alpha 90.00
_cell_angle_beta 90.00
_cell_angle_gamma 90.00
_symmetry_space_group_name_H-M 'I m m m'
_symmetry_Int_Tables_number 71
_symmetry_space_group_name_Hall '-I 2 2'
loop_
_atom_site_label
_atom_site_type_symbol
_atom_site_fract_x
_atom_site_fract_y
_atom_site_fract_z
_atom_site_occupancy
Ir1 Ir 0.000 0.000 0.000 1
Au1 Au 0.000 0.500 0.262 1
Se1 Se 0.000 0.000 0.500 1
```

***

# 9
The following is a PBE-GGA calculation of an optimized crystal structure of IrAu2Se, from Alexandria via LeMat-Bulk.

Results
The energy relative to the elements, uncorrected comes out at 0.255 eV per atom.

```
data_IrAu2Se
_cell_length_a 10.405
_cell_length_b 3.364
_cell_length_c 4.611
_cell_angle_alpha 90.00
_cell_angle_beta 101.27
_cell_angle_gamma 90.00
_symmetry_space_group_name_H-M 'C 1 m 1'
_symmetry_Int_Tables_number 8
loop_
_symmetry_equiv_pos_as_xyz
'x,y,z'
'x,-y,z'
'x+1/2,y+1/2,z'
'x+1/2,-y+1/2,z'
loop_
_atom_site_label
_atom_site_type_symbol
_atom_site_fract_x
_atom_site_fract_y
_atom_site_fract_z
_atom_site_occupancy
Ir1 Ir 0.000 0.000 0.000 1
Au1 Au 0.050 0.500 0.486 1
Au2 Au 0.222 0.500 0.099 1
Se1 Se 0.355 0.000 0.761 1
```

***

# 10
The following is a PBE-GGA calculation of an optimized crystal structure of IrAu2Se, from Alexandria via LeMat-Bulk.

Results
The energy relative to the elements, uncorrected comes out at 0.272 eV per atom.

```
data_IrAu2Se
_cell_length_a 3.001
_cell_length_b 4.515
_cell_length_c 11.712
_cell_angle_alpha 90.00
_cell_angle_beta 90.00
_cell_angle_gamma 90.00
_symmetry_space_group_name_H-M 'I m m 2'
_symmetry_Int_Tables_number 44
loop_
_symmetry_equiv_pos_as_xyz
'x,y,z'
'-x,-y,z'
'-x,y,z'
'x,-y,z'
'x+1/2,y+1/2,z+1/2'
'-x+1/2,-y+1/2,z+1/2'
'-x+1/2,y+1/2,z+1/2'
'x+1/2,-y+1/2,z+1/2'
loop_
_atom_site_label
_atom_site_type_symbol
_atom_site_fract_x
_atom_site_fract_y
_atom_site_fract_z
_atom_site_occupancy
Ir1 Ir 0.000 0.000 0.000 1
Au1 Au 0.000 0.000 0.547 1
Au2 Au 0.000 0.500 0.705 1
Se1 Se 0.000 0.500 0.338 1
```

***

# 11
The following is a PBE-GGA calculation of an optimized crystal structure of IrAu2Se, from Alexandria via LeMat-Bulk.

Results
The energy relative to the elements, uncorrected comes out at 0.304 eV per atom.

```
data_IrAu2Se
_cell_length_a 2.853
_cell_length_b 5.008
_cell_length_c 10.400
_cell_angle_alpha 90.00
_cell_angle_beta 90.00
_cell_angle_gamma 90.00
_symmetry_space_group_name_H-M 'C m m 2'
_symmetry_Int_Tables_number 35
loop_
_symmetry_equiv_pos_as_xyz
'x,y,z'
'-x,-y,z'
'-x,y,z'
'x,-y,z'
'x+1/2,y+1/2,z'
'-x+1/2,-y+1/2,z'
'-x+1/2,y+1/2,z'
'x+1/2,-y+1/2,z'
loop_
_atom_site_label
_atom_site_type_symbol
_atom_site_fract_x
_atom_site_fract_y
_atom_site_fract_z
_atom_site_occupancy
Ir1 Ir 0.000 0.000 0.000 1
Au1 Au 0.000 0.000 0.515 1
Au2 Au 0.000 0.500 0.765 1
Se1 Se 0.000 0.500 0.198 1
```

***

# 12
The following is a PBE-GGA calculation of an optimized crystal structure of IrAu2Se, from Alexandria via LeMat-Bulk.

Results
The energy relative to the elements, uncorrected comes out at 0.524 eV per atom.

```
data_IrAu2Se
_cell_length_a 5.646
_cell_length_b 8.949
_cell_length_c 2.780
_cell_angle_alpha 90.00
_cell_angle_beta 90.00
_cell_angle_gamma 90.00
_symmetry_space_group_name_H-M 'C m m m'
_symmetry_Int_Tables_number 65
_symmetry_space_group_name_Hall '-C 2 2'
loop_
_atom_site_label
_atom_site_type_symbol
_atom_site_fract_x
_atom_site_fract_y
_atom_site_fract_z
_atom_site_occupancy
Ir1 Ir 0.000 0.000 0.000 1
Au1 Au 0.250 0.250 0.500 1
Se1 Se 0.000 0.500 0.000 1
```

***

Electronic total energy (computed, eV/cell): -32.12, -115.90, -31.42, -144.18, -87.59, -119.83, -51.25, -34.13, -35.76, -35.62, -35.37, -33.61
Mass density (computed, Mg/m³): 9.1, 11.6, 7.1, 9.2, 12.5, 11.6, 15.1, 15.6, 14.0, 13.9, 14.9, 15.7